1.
The following is a DFT calculation (PBE-GGA) of crystalline La7Nd3Er2 at its relaxed geometry.

Properties
* density: 6.77 g/cm³
* total magnetization: 0.0 μB per formula unit
* DFT formation energy: 1.0 eV/f.u.
* E above lowest polymorph: 19 meV/atom

Cell lengths 3.6380, 6.0104, 20.0937 Å; angles 103.70, 90.00, 90.00 degrees
Positions (direct):
La1 0.5000 0.7235 0.4670
Nd1 0.5000 0.5000 0.0000
La2 0.0000 0.5266 0.8528
Nd2 0.0000 0.1464 0.3639
La3 0.0000 0.0000 0.0000
Er1 0.5000 0.5913 0.2976
La4 0.5000 0.9918 0.8158
La5 0.5000 0.0082 0.1842
La6 0.5000 0.2765 0.5330
La7 0.0000 0.4734 0.1472
Nd3 0.0000 0.8536 0.6361
Er2 0.5000 0.4087 0.7024

***

2.
The following is a DFT calculation (PBE-GGA) of crystalline LiY2H6Rh2 at its relaxed geometry.

Properties
* density: 5.68 g/cm³
* total magnetization: 0.0 μB per formula unit
* E: -5.00 eV/atom

Cell lengths 4.7426, 4.7426, 6.5560 Å; angles 68.80, 68.80, 60.00 degrees
Positions (direct):
H1 0.2620 0.7823 0.6937
H2 0.7380 0.7380 0.3063
H3 0.7380 0.2177 0.3063
H4 0.2620 0.2620 0.6937
Rh1 0.6196 0.6196 0.1413
H5 0.7823 0.2620 0.6937
Rh2 0.3804 0.3804 0.8587
Y1 0.7736 0.7736 0.6791
Y2 0.2264 0.2264 0.3209
Li1 0.0000 0.0000 0.0000
H6 0.2177 0.7380 0.3063

***

3.
The following is a DFT calculation (PBE-GGA) of crystalline Pm6Ho3Th2 at its relaxed geometry.

Properties
* density: 7.94 g/cm³
* total magnetization: 0.0 μB per formula unit
* DFT formation energy: 2.4 eV/f.u.

Cell lengths 6.1899, 6.1945, 11.7039 Å; angles 84.87, 79.69, 60.02 degrees
Positions (direct):
Ho1 0.6655 0.6690 0.0000
Pm1 0.0844 0.3332 0.7468
Pm2 0.5824 0.3332 0.2532
Ho2 0.3345 0.3310 0.0000
Pm3 0.2489 0.0000 0.2528
Ho3 0.0000 0.0000 0.0000
Pm4 0.7511 0.0000 0.7472
Pm5 0.4176 0.6668 0.7468
Th1 0.8335 0.3330 0.5000
Th2 0.1665 0.6670 0.5000
Pm6 0.9156 0.6668 0.2532